(1)
The following is a PBE calculation of a geometry-optimized LaAuS2 structure, from the Alexandria database.

The calculation puts the uncorrected formation energy at -1.325 eV/atom. As for the energy above the most stable polymorph in this dataset: 72 meV per atom.

The space group is Cmcm (No. 63) and the conventional cell measures 4.411, 22.929 and 3.970 Å, with angles of 90.00, 90.00 and 90.00 degrees. The distinct sites, in fractional coordinates, are La at (0.000, 0.172, 0.250), Au at (0.000, 0.452, 0.250), S at (0.000, 0.080, 0.750) and S at (0.000, 0.300, 0.250).

---

(2)
The following is a PBE calculation of a geometry-optimized YSc2Rh structure, from the Alexandria database.

The energy relative to the elements comes out at -10.4 kcal/mol of atoms. As for the energy above the most stable polymorph in this dataset: 71 meV per atom.

The space group is Imm2 (No. 44) and the conventional cell measures 3.525, 5.029 and 10.106 Å, with angles of 90.00, 90.00 and 90.00 degrees. The distinct sites, in fractional coordinates, are Y at (0.000, 0.000, 0.000), Sc at (0.000, 0.000, 0.408), Sc at (0.000, 0.500, 0.208) and Rh at (0.000, 0.500, 0.717).

---

(3)
The following is a PBE calculation of a geometry-optimized DyAl3Fe structure, from the Alexandria database.

The energy relative to the elements comes out at 1.4 kcal/mol of atoms. As for the energy above the most stable polymorph in this dataset: 387 meV per atom.

The space group is Cmcm (No. 63) and the conventional cell measures 7.061, 11.096 and 4.964 Å, with angles of 90.00, 90.00 and 90.00 degrees. The distinct sites, in fractional coordinates, are Dy at (0.000, 0.091, 0.250), Al at (0.000, 0.500, 0.000), Al at (0.172, 0.232, 0.750) and Fe at (0.000, 0.319, 0.250).

---

(4)
The following is a PBE calculation of a geometry-optimized Mn2SiIrRu structure, from the Alexandria database.

The calculation puts the uncorrected formation energy at 1.003 eV/atom.

The space group is P4/mmm (No. 123) and the conventional cell measures 4.128, 4.128 and 4.254 Å, with angles of 90.00, 90.00 and 90.00 degrees. The distinct sites, in fractional coordinates, are Mn at (0.000, 0.500, 0.000), Si at (0.000, 0.000, 0.000), Ir at (0.500, 0.500, 0.500) and Ru at (0.000, 0.000, 0.500).

---

(5)
The following is a PBE calculation of a geometry-optimized Cs2LiSnI5 structure, from the Alexandria database.

The calculation puts the uncorrected formation energy at -1.136 eV/atom.

The space group is Cmc2_1 (No. 36) and the conventional cell measures 4.874, 22.647 and 15.514 Å, with angles of 90.00, 90.00 and 90.00 degrees. The distinct sites, in fractional coordinates, are Cs at (0.000, 0.106, 0.000), Cs at (0.000, 0.124, 0.623), Li at (0.000, 0.429, 0.765), Sn at (0.000, 0.211, 0.337), I at (0.000, 0.067, 0.359), I at (0.000, 0.280, 0.975), I at (0.000, 0.308, 0.698), I at (0.000, 0.347, 0.315) and I at (0.000, 0.494, 0.618).

---

(6)
The following is a PBE calculation of a geometry-optimized Y13Co2 structure, from the Alexandria database.

The energy relative to the elements comes out at -0.6 kcal/mol of atoms.

The space group is P-1 (No. 2) and the conventional cell measures 6.343, 8.161 and 9.720 Å, with angles of 65.20, 84.51 and 82.62 degrees. The distinct sites, in fractional coordinates, are Y at (0.000, 0.000, 0.000), Y at (0.064, 0.839, 0.688), Y at (0.165, 0.683, 0.387), Y at (0.225, 0.546, 0.070), Y at (0.311, 0.387, 0.772), Y at (0.400, 0.231, 0.449), Y at (0.453, 0.082, 0.149) and Co at (0.196, 0.116, 0.720).

---

(7)
The following is a PBE calculation of a geometry-optimized TiSi3P structure, from the Alexandria database.

The calculation puts the uncorrected formation energy at 0.782 eV/atom. As for the energy above the most stable polymorph in this dataset: 0 meV per atom.

The space group is Pm-3m (No. 221) and the conventional cell measures 4.482, 4.482 and 4.482 Å, with angles of 90.00, 90.00 and 90.00 degrees. The distinct sites, in fractional coordinates, are Ti at (0.000, 0.000, 0.000), Si at (0.000, 0.500, 0.500) and P at (0.500, 0.500, 0.500).

---

(8)
The following is a PBE calculation of a geometry-optimized AcAuF6 structure, from the Alexandria database.

The calculation puts the uncorrected formation energy at -2.548 eV/atom.

The space group is C2/m (No. 12) and the conventional cell measures 8.234, 7.579 and 4.135 Å, with angles of 90.00, 101.20 and 90.00 degrees. The distinct sites, in fractional coordinates, are Ac at (0.000, 0.000, 0.000), Au at (0.000, 0.500, 0.500), F at (0.113, 0.319, 0.807) and F at (0.164, 0.000, 0.550).

---

(9)
The following is a PBE calculation of a geometry-optimized Sr8PN2 structure, from the Alexandria database.

The calculation puts the uncorrected formation energy at -0.452 eV/atom.

The space group is C2/m (No. 12) and the conventional cell measures 13.089, 10.771 and 6.808 Å, with angles of 90.00, 92.68 and 90.00 degrees. The distinct sites, in fractional coordinates, are Sr at (0.117, 0.174, 0.251), Sr at (0.121, 0.500, 0.772), Sr at (0.192, 0.000, 0.766), P at (0.000, 0.000, 0.500) and N at (0.206, 0.000, 0.116).

---

(10)
The following is a PBE calculation of a geometry-optimized Li2ReBr structure, from the Alexandria database.

The calculation puts the uncorrected formation energy at 0.478 eV/atom. As for the energy above the most stable polymorph in this dataset: 374 meV per atom.

The space group is P4mm (No. 99) and the conventional cell measures 2.967, 2.967 and 8.243 Å, with angles of 90.00, 90.00 and 90.00 degrees. The distinct sites, in fractional coordinates, are Li at (0.000, 0.000, 0.000), Li at (0.500, 0.500, 0.186), Re at (0.000, 0.000, 0.390) and Br at (0.500, 0.500, 0.860).

---

(11)
The following is a PBE calculation of a geometry-optimized Be2CdAg structure, from the Alexandria database.

The energy relative to the elements comes out at 5.3 kcal/mol of atoms.

The space group is P4mm (No. 99) and the conventional cell measures 2.948, 2.948 and 6.307 Å, with angles of 90.00, 90.00 and 90.00 degrees. The distinct sites, in fractional coordinates, are Be at (0.000, 0.000, 0.000), Be at (0.500, 0.500, 0.156), Cd at (0.000, 0.000, 0.426) and Ag at (0.500, 0.500, 0.768).

---

(12)
The following is a PBE calculation of a geometry-optimized KCaRh2 structure, from the Alexandria database.

The energy relative to the elements comes out at 5.8 kcal/mol of atoms. As for the energy above the most stable polymorph in this dataset: 170 meV per atom.

The space group is P2/m (No. 10) and the conventional cell measures 2.945, 4.477 and 7.228 Å, with angles of 90.00, 90.20 and 90.00 degrees. The distinct sites, in fractional coordinates, are K at (0.000, 0.000, 0.000), Ca at (0.000, 0.000, 0.500) and Rh at (0.498, 0.500, 0.325).

---

(13)
The following is a PBE calculation of a geometry-optimized Tb3Tm4Mg structure, from the Alexandria database.

The energy relative to the elements comes out at 0.0 kcal/mol of atoms. As for the energy above the most stable polymorph in this dataset: 0 meV per atom.

The space group is Pmn2_1 (No. 31) and the conventional cell measures 11.141, 7.051 and 6.123 Å, with angles of 90.00, 90.00 and 90.00 degrees. The distinct sites, in fractional coordinates, are Tb at (0.000, 0.128, 0.000), Tb at (0.244, 0.122, 0.343), Tm at (0.000, 0.379, 0.522), Tm at (0.000, 0.624, 0.007), Tm at (0.246, 0.624, 0.350) and Mg at (0.000, 0.872, 0.509).

---

(14)
The following is a PBE calculation of a geometry-optimized TaAl2Tc structure, from the Alexandria database.

The energy relative to the elements comes out at -1.0 kcal/mol of atoms. As for the energy above the most stable polymorph in this dataset: 340 meV per atom.

The space group is R3m (No. 160, hexagonal axes) and the conventional cell measures 2.8808, 2.8808 and 27.0664 Å, with angles of 90.00, 90.00 and 120.00 degrees. The distinct sites, in fractional coordinates, are Ta at (0.0000, 0.0000, 0.0000), Al at (0.0000, 0.0000, 0.2462), Al at (0.0000, 0.0000, 0.4937) and Tc at (0.0000, 0.0000, 0.7513).

---

(15)
The following is a PBE calculation of a geometry-optimized ZnFe4W structure, from the Alexandria database.

The energy relative to the elements comes out at 1.4 kcal/mol of atoms.

The space group is F-43m (No. 216) and the conventional cell measures 6.666, 6.666 and 6.666 Å, with angles of 90.00, 90.00 and 90.00 degrees. The distinct sites, in fractional coordinates, are Zn at (0.000, 0.000, 0.000), Fe at (0.125, 0.125, 0.375) and W at (0.250, 0.250, 0.750).

---

(16)
The following is a PBE calculation of a geometry-optimized BMoIr3 structure, from the Alexandria database.

The energy relative to the elements comes out at 57.4 kcal/mol of atoms. As for the energy above the most stable polymorph in this dataset: 2281 meV per atom.

The space group is Pm-3m (No. 221) and the conventional cell measures 4.726, 4.726 and 4.726 Å, with angles of 90.00, 90.00 and 90.00 degrees. The distinct sites, in fractional coordinates, are B at (0.000, 0.000, 0.000), Mo at (0.500, 0.500, 0.500) and Ir at (0.000, 0.500, 0.500).

---

(17)
The following is a PBE calculation of a geometry-optimized Ho2TlI structure, from the Alexandria database.

The calculation puts the uncorrected formation energy at -0.399 eV/atom. As for the energy above the most stable polymorph in this dataset: 60 meV per atom.

The space group is R3m (No. 160, hexagonal axes) and the conventional cell measures 4.4343, 4.4343 and 22.9091 Å, with angles of 90.00, 90.00 and 120.00 degrees. The distinct sites, in fractional coordinates, are Ho at (0.0000, 0.0000, 0.0000), Ho at (0.0000, 0.0000, 0.1990), Tl at (0.0000, 0.0000, 0.5980) and I at (0.0000, 0.0000, 0.7703).

---

(18)
The following is a PBE calculation of a geometry-optimized HoTmInHg structure, from the Alexandria database.

The energy relative to the elements comes out at -10.3 kcal/mol of atoms.

The space group is F-43m (No. 216) and the conventional cell measures 7.437, 7.437 and 7.437 Å, with angles of 90.00, 90.00 and 90.00 degrees. The distinct sites, in fractional coordinates, are Ho at (0.000, 0.000, 0.000), Tm at (0.000, 0.000, 0.500), In at (0.250, 0.250, 0.250) and Hg at (0.250, 0.250, 0.750).

---

(19)
The following is a PBE calculation of a geometry-optimized BaSr2Cu2 structure, from the Alexandria database.

The energy relative to the elements comes out at 2.1 kcal/mol of atoms. As for the energy above the most stable polymorph in this dataset: 100 meV per atom.

The space group is I4/mmm (No. 139) and the conventional cell measures 5.108, 5.108 and 13.322 Å, with angles of 90.00, 90.00 and 90.00 degrees. The distinct sites, in fractional coordinates, are Ba at (0.000, 0.000, 0.000), Sr at (0.000, 0.500, 0.250) and Cu at (0.000, 0.000, 0.406).

---

(20)
The following is a PBE calculation of a geometry-optimized TbPr3Sm3Te8 structure, from the Alexandria database.

The calculation puts the uncorrected formation energy at -1.445 eV/atom.

The space group is R-3m (No. 166, hexagonal axes) and the conventional cell measures 8.9178, 8.9178 and 21.9614 Å, with angles of 90.00, 90.00 and 120.00 degrees. The distinct sites, in fractional coordinates, are Tb at (0.0000, 0.0000, 0.0000), Pr at (0.0000, 0.5000, 0.5000), Sm at (0.0000, 0.5000, 0.0000), Te at (0.0000, 0.0000, 0.2522) and Te at (0.0040, 0.5020, 0.2512).

---

E? In order: -5.44; -7.07; -4.80; -7.38; -2.84; -6.58; -5.13; -4.88; -3.68; -4.01; -2.58; -4.20; -4.17; -7.47; -7.95; -6.33; -3.67; -3.47; -2.61; -5.33 eV per atom.